{"formula": "VFeP2O", "functional": "GGA+U", "state": "relaxed", "crystal_system": "tetragonal", "n_ef_per_ev_atom": 0.6139, "sg": "P4/mmm, No. 123", "magmom_total_mub_per_cell": 5.45, "energy_ry_per_atom": -0.39525, "lattice": [[4.7080, 0.0000, 0.0000], [0.0000, 4.7080, 0.0000], [0.0000, 0.0000, 3.5464]], "species": ["V", "Fe", "P", "P", "O"], "frac_coords": [[0.0000, 0.0000, 0.0000], [0.5000, 0.5000, 0.5000], [0.0000, 0.5000, 0.5000], [0.5000, 0.0000, 0.5000], [0.5000, 0.5000, 0.0000]]}